Entry 1:
VASP calculation (GGA-PBE) on a relaxed structure of Pm5Dy3Ho3.

```
11
Lattice="-1.7686 -2.4176 1.7419 -0.5809 -6.2438 -9.2555 8.6011 -1.2220 7.0366" Properties=species:S:1:pos:R:3 pbc="T T T"
Pm 4.6562 -4.1048 2.4769
Pm 1.5955 -5.7787 -2.9538
Pm 0.4107 -2.4143 0.5127
Pm 6.3281 -2.2335 6.7714
Pm -1.3713 -6.4445 -6.8901
Dy 3.2547 -3.0297 -0.9004
Dy -0.3451 -3.7101 -5.4996
Dy 5.1108 -0.7261 4.1811
Ho 4.3926 -6.1209 -0.5889
Ho 2.0578 -1.6268 3.2779
Ho -1.0830 -3.3446 -2.2950
```

Summary:
Excess energy over the best structure of this formula in the dataset in meV per atom: 19
Space group: P-62m



Entry 2:
VASP calculation (GGA-PBE) on a relaxed structure of MnNbS3.

```
10
Lattice="-1.6511 -3.6904 -4.5211 2.2026 -5.2767 -0.5654 -5.6310 -3.7189 2.5306" Properties=species:S:1:pos:R:3 pbc="T T T"
Mn -4.9001 -3.3167 2.0393
Mn -2.3820 -4.0927 -4.0298
Nb 0.1386 -5.7186 -3.5192
Nb 0.4128 -3.2486 -1.5673
S -5.6256 -5.5542 -1.1940
S -1.6564 -1.8552 -0.7965
S -3.6640 -4.9743 1.2212
S -3.5069 -7.9331 -0.4892
S -1.4155 -7.7117 -3.7770
S -1.5726 -4.7529 -2.0666
```

Summary:
ΔE_f (raw) in eV/f.u.: -3.13
Excess energy over the best structure of this formula in the dataset in meV per atom: 0
Space group: C2/m



Entry 3:
VASP calculation (GGA-PBE) on a relaxed structure of YGaSn2Rh4.

```
8
Lattice="4.5511 0.0000 0.0000 2.2756 3.9414 0.0000 2.2756 1.3138 7.7537" Properties=species:S:1:pos:R:3 pbc="T T T"
Y 0.0000 0.0000 0.0000
Ga 4.5511 2.6276 3.8769
Sn 6.8267 3.9414 5.8327
Sn 2.2756 1.3138 1.9210
Rh 4.5511 2.6276 6.3300
Rh 6.8267 3.9414 3.0543
Rh 2.2756 1.3138 4.6994
Rh 4.5511 2.6276 1.4237
```

Summary:
DFT total energy in eV/atom: -6.5169
Space group: R-3m



Entry 4:
VASP calculation (GGA-PBE) on a relaxed structure of TbPuBr6.

```
8
Lattice="7.3788 -0.2683 -1.1510 -4.1026 6.1390 -1.1510 0.1292 0.2315 7.0809" Properties=species:S:1:pos:R:3 pbc="T T T"
Tb 1.7027 3.0511 2.3894
Pu 0.0000 0.0000 0.0000
Br 0.8535 5.4744 3.5748
Br 4.2110 3.6007 3.5748
Br -0.8055 2.5015 1.2040
Br 2.5519 0.6278 1.2040
Br 0.9169 1.6430 4.7012
Br 2.4885 4.4592 0.0776
```

Summary:
ΔE_f (raw) in eV/f.u.: -13.30
Excess energy over the best structure of this formula in the dataset in meV per atom: 0
Space group: C2/m



Entry 5:
VASP calculation (GGA-PBE) on a relaxed structure of AuI2.

```
12
Lattice="-6.0848 -2.8109 -0.1847 2.1478 -4.6415 -0.1197 2.7185 0.8922 14.1829" Properties=species:S:1:pos:R:3 pbc="T T T"
Au -4.9179 -2.6364 1.6121
Au 1.7947 0.1922 12.3725
Au -2.4847 -4.5111 8.6437
Au 1.5093 -2.5747 5.2212
I -3.0674 -3.8800 3.0636
I 1.5155 -1.9598 10.8335
I -0.6342 -5.7547 10.0951
I 1.2301 -4.7267 3.6822
I -0.3227 -3.8995 6.9233
I -2.7558 -2.0248 -0.1083
I 1.5804 -3.4154 -0.0881
I 1.8658 -0.6485 7.0632
```

Summary:
ΔE_f (raw) in eV/f.u.: -0.09
Space group: C2



Entry 6:
VASP calculation (GGA-PBE) on a relaxed structure of CrCu2Cl.

```
4
Lattice="0.0000 3.1666 3.1666 3.1666 0.0000 3.1666 3.1666 3.1666 0.0000" Properties=species:S:1:pos:R:3 pbc="T T T"
Cr 3.1666 3.1666 3.1666
Cu 1.5833 1.5833 1.5833
Cu 4.7498 4.7498 4.7498
Cl 0.0000 0.0000 0.0000
```

Summary:
ΔE_f (raw) in eV/f.u.: 2.85
Excess energy over the best structure of this formula in the dataset in meV per atom: 567
Space group: Fm-3m



Entry 7:
VASP calculation (GGA-PBE) on a relaxed structure of Ta4TlSi.

```
6
Lattice="1.0764 2.1766 4.9531 -2.2143 -2.2307 4.5333 3.1955 -2.7266 3.5755" Properties=species:S:1:pos:R:3 pbc="T T T"
Ta 1.3103 0.0480 7.3762
Ta 2.3716 -2.4077 6.6862
Ta -0.3379 -2.1594 7.1659
Ta 0.7712 -1.0422 4.8955
Tl 1.5432 -2.0855 9.7964
Si 0.0000 0.0000 0.0000
```

Summary:
ΔE_f (raw) in eV/f.u.: 3.78
Space group: F-43m



Entry 8:
VASP calculation (GGA-PBE) on a relaxed structure of RbSI2N.

```
5
Lattice="-5.3363 0.1064 -4.4094 0.5436 -6.8525 -0.8233 -2.1593 -0.4838 2.6015" Properties=species:S:1:pos:R:3 pbc="T T T"
I 0.2718 -3.4262 -0.4116
I -2.6681 0.0532 -2.2047
S 0.0000 0.0000 0.0000
Rb -3.4759 -3.6150 -1.3156
N -1.0796 -0.2419 1.3007
```

Summary:
ΔE_f (raw) in eV/f.u.: 0.67
Excess energy over the best structure of this formula in the dataset in meV per atom: 0
Space group: P4/mmm



Entry 9:
VASP calculation (GGA-PBE) on a relaxed structure of Te2RhSe.

```
4
Lattice="3.9597 -0.0070 0.0041 2.1395 3.3319 0.0041 1.2600 0.6869 7.1468" Properties=species:S:1:pos:R:3 pbc="T T T"
Rh 5.5194 3.0089 5.3662
Se 1.8398 1.0030 1.7887
Te 1.4269 0.7779 6.8191
Te 3.5127 1.9149 3.9051
```

Summary:
ΔE_f (raw) in eV/f.u.: -0.55
Space group: C2/m



Entry 10:
VASP calculation (GGA-PBE) on a relaxed structure of RbHg.

```
4
Lattice="-0.5124 2.4026 -5.8046 0.1465 -6.2474 0.8234 -7.3086 -0.0913 0.6074" Properties=species:S:1:pos:R:3 pbc="T T T"
Rb -1.9003 -3.3869 -1.2341
Rb -5.7742 -0.5492 -3.1398
Hg -5.5546 -3.4325 -0.9304
Hg -2.1199 -0.5035 -3.4435
```

Summary:
DFT total energy in eV/atom: -0.6732
Space group: P6_3/mmc



Entry 11:
VASP calculation (GGA-PBE) on a relaxed structure of K2IrRhO6.

```
10
Lattice="-2.2023 0.1193 3.2906 -4.6936 0.0081 -3.1416 -0.1014 -5.6454 0.1368" Properties=species:S:1:pos:R:3 pbc="T T T"
K -2.6653 0.0213 -1.0949
K -0.3692 -2.8055 0.5443
Ir -1.4196 0.0769 2.1211
Rh -3.8171 -2.7418 0.6187
O -2.5907 -1.2996 1.3878
O -2.6426 -4.1881 1.4578
O -2.7161 -2.8014 -1.0264
O -0.3186 0.0173 0.4761
O -5.0441 -4.1839 -0.1496
O -4.9922 -1.2954 -0.2196
```

Summary:
ΔE_f (raw) in eV/f.u.: -8.39
Space group: P4/mmm



Entry 12:
VASP calculation (GGA-PBE) on a relaxed structure of Ta2CrOs.

```
4
Lattice="5.1482 0.0033 0.0007 2.1719 4.6677 -0.0007 -3.1364 -3.1562 2.5896" Properties=species:S:1:pos:R:3 pbc="T T T"
Cr 2.8360 -0.4087 1.2951
Os 1.3478 1.9235 1.2944
Ta 7.2905 4.6520 0.0000
Ta 3.6898 2.3544 0.0000
```

Summary:
Excess energy over the best structure of this formula in the dataset in meV per atom: 242
Space group: Immm



Entry 13:
VASP calculation (GGA-PBE) on a relaxed structure of BeCrNi2.

```
4
Lattice="4.6016 0.0172 0.0226 2.1048 4.0921 -0.0226 -2.9448 -2.7212 2.2581" Properties=species:S:1:pos:R:3 pbc="T T T"
Ni 6.6998 4.1052 0.0000
Ni 2.3764 -0.4035 1.1404
Be 3.4351 2.1048 0.0000
Cr 1.3099 1.7454 1.1177
```

Summary:
DFT total energy in eV/atom: -6.2429
Space group: Imm2



Entry 14:
VASP calculation (GGA-PBE) on a relaxed structure of LiPmEuIn.

```
4
Lattice="5.4873 0.0000 0.0000 2.7436 4.7521 0.0000 2.7436 1.5840 4.4804" Properties=species:S:1:pos:R:3 pbc="T T T"
Eu 8.2309 4.7521 3.3603
In 5.4873 3.1681 2.2402
Li 0.0000 0.0000 0.0000
Pm 2.7436 1.5840 1.1201
```

Summary:
DFT total energy in eV/atom: -5.1531
Space group: F-43m



Entry 15:
VASP calculation (GGA-PBE) on a relaxed structure of Ca3SiMo.

```
5
Lattice="5.3517 0.0000 0.0000 0.0000 5.3517 0.0000 0.0000 0.0000 5.3517" Properties=species:S:1:pos:R:3 pbc="T T T"
Mo 0.0000 0.0000 0.0000
Si 2.6759 2.6759 2.6759
Ca 0.0000 2.6759 0.0000
Ca 0.0000 0.0000 2.6759
Ca 2.6759 0.0000 0.0000
```

Summary:
ΔE_f (raw) in eV/f.u.: 5.23
Excess energy over the best structure of this formula in the dataset in meV per atom: 358
Space group: Pm-3m



Entry 16:
VASP calculation (GGA-PBE) on a relaxed structure of KFeIr2.

```
4
Lattice="4.1509 0.0000 0.0000 0.0000 2.6772 -0.0503 0.0000 1.3756 7.2567" Properties=species:S:1:pos:R:3 pbc="T T T"
Fe 2.0754 3.0396 5.4048
Ir 0.0000 3.8075 6.5584
Ir 0.0000 2.2718 4.2512
K 2.0754 1.0132 1.8016
```

Summary:
Excess energy over the best structure of this formula in the dataset in meV per atom: 182
Space group: P2/m



Entry 17:
VASP calculation (GGA-PBE) on a relaxed structure of CsCa.

```
16
Lattice="16.4235 0.0000 0.0000 0.0000 16.4235 0.0000 0.0000 0.0000 4.2802" Properties=species:S:1:pos:R:3 pbc="T T T"
Cs 6.2137 5.2780 0.0000
Cs 10.2098 11.1455 0.0000
Cs 11.1455 6.2137 0.0000
Cs 5.2780 10.2098 0.0000
Cs 14.4255 13.4898 2.1401
Cs 1.9981 2.9337 2.1401
Cs 2.9337 14.4255 2.1401
Cs 13.4898 1.9981 2.1401
Ca 7.1635 14.4646 0.0000
Ca 9.2600 1.9589 0.0000
Ca 1.9589 7.1635 0.0000
Ca 14.4646 9.2600 0.0000
Ca 15.3753 6.2529 2.1401
Ca 1.0482 10.1706 2.1401
Ca 10.1706 15.3753 2.1401
Ca 6.2529 1.0482 2.1401
```

Summary:
DFT total energy in eV/atom: -1.2276
Space group: I4/m



Entry 18:
VASP calculation (GGA-PBE) on a relaxed structure of CrCd2Ni.

```
4
Lattice="4.1190 0.0000 0.0000 0.0000 4.1190 0.0000 0.0000 0.0000 4.0006" Properties=species:S:1:pos:R:3 pbc="T T T"
Cd 0.0000 0.0000 0.0000
Cd 2.0595 2.0595 0.0000
Cr 2.0595 0.0000 2.0003
Ni 0.0000 2.0595 2.0003
```

Summary:
Excess energy over the best structure of this formula in the dataset in meV per atom: 77
Space group: P4/mmm



Entry 19:
VASP calculation (GGA-PBE) on a relaxed structure of GaPtO2F.

```
5
Lattice="3.7460 0.0000 0.0000 0.0000 3.7460 0.0000 0.0000 0.0000 6.5023" Properties=species:S:1:pos:R:3 pbc="T T T"
O 0.0000 1.8730 0.0000
O 1.8730 0.0000 0.0000
Ga 1.8730 1.8730 3.2511
Pt 0.0000 0.0000 0.0000
F 0.0000 0.0000 3.2511
```

Summary:
ΔE_f (raw) in eV/f.u.: -2.82
Space group: P4/mmm



Entry 20:
VASP calculation (GGA-PBE) on a relaxed structure of TbDy7Ho3.

```
11
Lattice="-5.2482 4.2654 5.2008 -1.6883 -5.9988 3.2162 5.4041 3.8212 2.3184" Properties=species:S:1:pos:R:3 pbc="T T T"
Tb 0.7027 2.4475 4.9338
Dy 3.6069 2.6673 3.0707
Dy 0.9227 0.7690 1.9186
Dy 0.0414 -2.2098 3.5457
Dy -2.8630 -2.4296 5.4089
Dy -2.0244 0.5502 3.8113
Dy -0.1786 -0.5312 6.5610
Dy 2.7683 -0.3123 4.6683
Ho -2.2536 2.2519 6.8414
Ho -4.9548 0.3421 5.6826
Ho -3.0975 -0.7464 8.4489
```

Summary:
Excess energy over the best structure of this formula in the dataset in meV per atom: 47
Space group: P3m1